Entry from Alexandria via LeMat-Bulk: a relaxed SrMgInWO6 crystal (GGA+U).

Lattice parameters (Å, degrees): 5.657 5.657 5.657 60.00 60.00 60.00
Fractional coordinates of all 10 atoms:
Sr (0.000, 0.000, 0.000)
Mg (0.750, 0.750, 0.750)
In (0.500, 0.500, 0.500)
W (0.250, 0.250, 0.250)
O (0.007, 0.007, 0.493)
O (0.007, 0.493, 0.007)
O (0.007, 0.493, 0.493)
O (0.493, 0.007, 0.007)
O (0.493, 0.007, 0.493)
O (0.493, 0.493, 0.007)

Summary:
The value obtained for the density of states at the Fermi level is 0.074 states/eV per atom. For the uncorrected energy, the calculation gives -6.446 eV per atom.